Density functional theory data (PBE-GGA) for a geometry-optimized Na2MgPb8 structure.

ΔE_f in meV/atom: 40.6
Spin magnetization in Bohr magnetons per cell: 0.000
Total energy in eV per atom: -3.04
Symmetry: C2/m

a b c (Å): 8.2049 8.2049 6.1554
angles (deg): 99.87 99.87 60.62
Element x y z (fractional)
Na  0.1299  0.1299  0.4937
Na  0.8701  0.8701  0.5063
Mg  0.0000  0.0000  0.0000
Pb  0.2335  0.6415  0.2184
Pb  0.2357  0.2357  0.0561
Pb  0.3585  0.7665  0.7816
Pb  0.3614  0.3614  0.6533
Pb  0.6386  0.6386  0.3467
Pb  0.6415  0.2335  0.2184
Pb  0.7643  0.7643  0.9439
Pb  0.7665  0.3585  0.7816



Density functional theory data (PBE-GGA) for a geometry-optimized NaMg3Pb3 structure.

ΔE_f in meV/atom: 312.0
Spin magnetization in Bohr magnetons per cell: 0.000
Total energy in eV per atom: -2.15
Symmetry: Pm-3n

a b c (Å): 8.1348 8.1348 8.1348
angles (deg): 90.00 90.00 90.00
Element x y z (fractional)
Na  0.0000  0.0000  0.0000
Na  0.5000  0.5000  0.5000
Mg  0.0000  0.2500  0.5000
Mg  0.0000  0.7500  0.5000
Mg  0.2500  0.5000  0.0000
Mg  0.5000  0.0000  0.2500
Mg  0.5000  0.0000  0.7500
Mg  0.7500  0.5000  0.0000
Pb  0.0000  0.5000  0.2500
Pb  0.0000  0.5000  0.7500
Pb  0.2500  0.0000  0.5000
Pb  0.5000  0.2500  0.0000
Pb  0.5000  0.7500  0.0000
Pb  0.7500  0.0000  0.5000



Density functional theory data (PBE-GGA) for a geometry-optimized Na2MgPb structure.

ΔE_f in meV/atom: 82.7
Spin magnetization in Bohr magnetons per cell: 0.000
Total energy in eV per atom: -1.90
Symmetry: R-3m

a b c (Å): 11.9976 11.9976 11.9976
angles (deg): 16.58 16.58 16.58
Element x y z (fractional)
Na  0.0903  0.0903  0.0903
Na  0.9097  0.9097  0.9097
Mg  0.0000  0.0000  0.0000
Pb  0.5000  0.5000  0.5000



Density functional theory data (PBE-GGA) for a geometry-optimized NaMgPb structure.

ΔE_f in meV/atom: 3.5
Spin magnetization in Bohr magnetons per cell: 0.000
Total energy in eV per atom: -2.20
Symmetry: F-43m

a b c (Å): 5.0819 5.0819 5.0819
angles (deg): 60.00 60.00 60.00
Element x y z (fractional)
Na  0.0000  0.0000  0.0000
Mg  0.5000  0.5000  0.5000
Pb  0.2500  0.2500  0.2500